No. 1
Compound: TiMnAg
Source: Alexandria via LeMat-Bulk
Functional: PBE
Structure: optimized geometry

Results
energy of formation	0.47	eV per atom
calculated density	7.0	g/cm³

abc: 4.4637 4.4637 17.3810
angles: 90.00 90.00 120.00
Closest atoms and distances in Å follow each position.
Space group R-3m (No. 166, hexagonal axes)
Unique sites:
Ti 0.0000 0.0000 0.0802  1 Mn 2.10
Mn 0.0000 0.0000 0.2011  1 Ti 2.10
Ag 0.0000 0.0000 0.3656  3 Ti 2.71, 3 Ag 2.81, 1 Mn 2.86

***

No. 2
Compound: TiMnAg3
Source: Alexandria via LeMat-Bulk
Functional: PBE
Structure: optimized geometry

Results
energy of formation	1.25	eV per atom
calculated density	5.8	g/cm³
ΔE to the lowest computed polymorph	0	meV/atom

abc: 4.9694 4.9694 4.9694
angles: 90.00 90.00 90.00
Closest atoms and distances in Å follow each position.
Space group Pm-3m (No. 221)
Unique sites:
Ti 0.0000 0.0000 0.0000  6 Ag 2.48
Mn 0.5000 0.5000 0.5000  12 Ag 3.51
Ag 0.0000 0.0000 0.5000  2 Ti 2.48

***

No. 3
Compound: TiMn2Ag
Source: Alexandria via LeMat-Bulk
Functional: PBE
Structure: optimized geometry

Results
energy of formation	0.70	eV per atom
calculated density	7.1	g/cm³
ΔE to the lowest computed polymorph	499	meV/atom

abc: 3.7417 3.7417 17.6586
angles: 90.00 90.00 90.00
Closest atoms and distances in Å follow each position.
Space group I-42d (No. 122)
Unique sites:
Ti 0.0000 0.0000 0.0000  4 Mn 2.47, 4 Ag 2.65
Mn 0.1580 0.2500 0.1250  2 Mn 2.21, 2 Ti 2.47
Ag 0.0000 0.0000 0.5000  4 Ti 2.65, 4 Mn 2.72

***

No. 4
Compound: TiMn2Ag
Source: Alexandria via LeMat-Bulk
Functional: PBE
Structure: optimized geometry

Results
energy of formation	0.21	eV per atom
calculated density	7.4	g/cm³
ΔE to the lowest computed polymorph	0	meV/atom

abc: 6.2107 6.2107 6.2107
angles: 90.00 90.00 90.00
Closest atoms and distances in Å follow each position.
Space group Fm-3m (No. 225)
Unique sites:
Ti 0.0000 0.0000 0.0000  8 Mn 2.69
Mn 0.2500 0.2500 0.2500  4 Ti 2.69, 4 Ag 2.69
Ag 0.0000 0.0000 0.5000  8 Mn 2.69

***

No. 5
Compound: TiMn3Ag
Source: Alexandria via LeMat-Bulk
Functional: PBE
Structure: optimized geometry

Results
energy of formation	1.06	eV per atom
calculated density	5.8	g/cm³
ΔE to the lowest computed polymorph	0	meV/atom

abc: 4.5026 4.5026 4.5026
angles: 90.00 90.00 90.00
Closest atoms and distances in Å follow each position.
Space group Pm-3m (No. 221)
Unique sites:
Ti 0.0000 0.0000 0.0000  6 Mn 2.25
Mn 0.0000 0.0000 0.5000  2 Ti 2.25
Ag 0.5000 0.5000 0.5000  12 Mn 3.18

***

No. 6
Compound: TiMnAg2
Source: Alexandria via LeMat-Bulk
Functional: PBE
Structure: optimized geometry

Results
energy of formation	0.46	eV per atom
calculated density	7.4	g/cm³
ΔE to the lowest computed polymorph	0	meV/atom

abc: 3.7791 3.7791 19.9199
angles: 90.00 90.00 90.00
Closest atoms and distances in Å follow each position.
Space group I-42d (No. 122)
Unique sites:
Ti 0.0000 0.0000 0.0000  4 Mn 2.67, 4 Ag 2.83
Mn 0.0000 0.0000 0.5000  4 Ti 2.67, 4 Ag 2.82
Ag 0.2455 0.2500 0.6250  4 Ag 2.65-2.70, 2 Mn 2.82, 2 Ti 2.83

***

No. 7
Compound: TiMnAg2
Source: Alexandria via LeMat-Bulk
Functional: PBE
Structure: optimized geometry

Results
energy of formation	0.59	eV per atom
calculated density	8.3	g/cm³
ΔE to the lowest computed polymorph	125	meV/atom

abc: 6.3326 6.3326 6.3326
angles: 90.00 90.00 90.00
Closest atoms and distances in Å follow each position.
Space group Fm-3m (No. 225)
Unique sites:
Ti 0.0000 0.0000 0.0000  8 Ag 2.74
Mn 0.0000 0.0000 0.5000  8 Ag 2.74
Ag 0.2500 0.2500 0.2500  4 Mn 2.74, 4 Ti 2.74

***

No. 8
Compound: TiMn3Ag
Source: Alexandria via LeMat-Bulk
Functional: PBE
Structure: optimized geometry

Results
energy of formation	1.29	eV per atom
calculated density	4.7	g/cm³
ΔE to the lowest computed polymorph	236	meV/atom

abc: 4.8289 4.8289 4.8289
angles: 90.00 90.00 90.00
Closest atoms and distances in Å follow each position.
Space group Pm-3m (No. 221)
Unique sites:
Ti 0.0000 0.0000 0.0000  12 Mn 3.41
Mn 0.0000 0.5000 0.5000  2 Ag 2.41
Ag 0.5000 0.5000 0.5000  6 Mn 2.41

***

No. 9
Compound: MnTlAg
Source: Alexandria via LeMat-Bulk
Functional: PBE
Structure: optimized geometry

Results
energy of formation	0.51	eV per atom
calculated density	9.1	g/cm³
ΔE to the lowest computed polymorph	145	meV/atom

abc: 6.4434 6.4434 6.4434
angles: 90.00 90.00 90.00
Closest atoms and distances in Å follow each position.
Space group F-43m (No. 216)
Unique sites:
Mn 0.0000 0.0000 0.0000  4 Tl 2.79, 4 Ag 2.79
Tl 0.2500 0.2500 0.7500  4 Mn 2.79
Ag 0.2500 0.2500 0.2500  4 Mn 2.79

***

No. 10
Compound: MnTl3Ag
Source: Alexandria via LeMat-Bulk
Functional: PBE
Structure: optimized geometry

Results
energy of formation	0.50	eV per atom
calculated density	9.1	g/cm³
ΔE to the lowest computed polymorph	0	meV/atom

abc: 5.2153 5.2153 5.2153
angles: 90.00 90.00 90.00
Closest atoms and distances in Å follow each position.
Space group Pm-3m (No. 221)
Unique sites:
Mn 0.0000 0.0000 0.0000  6 Tl 2.61
Tl 0.0000 0.0000 0.5000  2 Mn 2.61
Ag 0.5000 0.5000 0.5000  12 Tl 3.69

***

No. 11
Compound: MnTlAg
Source: Alexandria via LeMat-Bulk
Functional: PBE
Structure: optimized geometry

Results
energy of formation	0.39	eV per atom
calculated density	10.2	g/cm³
ΔE to the lowest computed polymorph	23	meV/atom

abc: 3.2512 4.0968 8.9457
angles: 90.00 90.00 90.00
Closest atoms and distances in Å follow each position.
Space group Imm2 (No. 44)
Unique sites:
Mn 0.0000 0.0000 0.0000  5 Tl 2.91-3.05, 5 Ag 2.94-3.13, 2 Mn 3.25
Tl 0.0000 0.0000 0.3252  5 Mn 2.91-3.05, 5 Ag 2.91-3.05, 2 Tl 3.25
Ag 0.0000 0.0000 0.6505  5 Tl 2.91-3.05, 5 Mn 2.94-3.13, 2 Ag 3.25

***

No. 12
Compound: MnTl2Ag
Source: Alexandria via LeMat-Bulk
Functional: PBE
Structure: optimized geometry

Results
energy of formation	0.29	eV per atom
calculated density	10.1	g/cm³
ΔE to the lowest computed polymorph	0	meV/atom

abc: 3.3770 3.3770 8.2537
angles: 90.00 90.00 90.00
Closest atoms and distances in Å follow each position.
Space group P4mm (No. 99)
Unique sites:
Mn 0.0000 0.0000 0.0000  4 Ag 2.78, 4 Tl 3.09
Tl 0.0000 0.0000 0.5701  4 Ag 3.20, 4 Tl 3.38, 1 Mn 3.55
Tl 0.5000 0.5000 0.2379  4 Mn 3.09, 4 Tl 3.38, 1 Ag 3.38
Ag 0.5000 0.5000 0.8286  4 Mn 2.78

***

What is the energy of formation in the eighth record? 1.29 eV per atom

***

The lowest energy of formation belongs to which entry? number 4

***

The lowest calculated density belongs to which entry? number 8

***

Repeat the fifth record exactly.
Compound: TiMn3Ag
Source: Alexandria via LeMat-Bulk
Functional: PBE
Structure: optimized geometry

Results
energy of formation	1.06	eV per atom
calculated density	5.8	g/cm³
ΔE to the lowest computed polymorph	0	meV/atom

abc: 4.5026 4.5026 4.5026
angles: 90.00 90.00 90.00
Closest atoms and distances in Å follow each position.
Space group Pm-3m (No. 221)
Unique sites:
Ti 0.0000 0.0000 0.0000  6 Mn 2.25
Mn 0.0000 0.0000 0.5000  2 Ti 2.25
Ag 0.5000 0.5000 0.5000  12 Mn 3.18